Record 1
{
  "formula": "LaTcIr2",
  "functional": "PBE-GGA",
  "state": "optimized geometry",
  "formation_enthalpy_0k_ev_per_atom": 0.278,
  "e_above_lowest_polymorph_mev_per_atom": 373,
  "n_ef_per_ev_cell": 7.48,
  "magnetic_moment_mub_per_cell": 0.373,
  "cell": [[9.8477, -0.0237, -0.0139], [9.4321, 2.8308, -0.0139], [9.4321, 1.3733, 2.4754]],
  "species": ["Ir", "Ir", "La", "Tc"],
  "fractional_positions": [[0.0114, 0.0114, 0.0114], [0.4886, 0.4886, 0.4886], [0.2500, 0.2500, 0.2500], [0.7500, 0.7500, 0.7500]]
}

***

Record 2
{
  "formula": "La4TcIr",
  "functional": "PBE-GGA",
  "state": "optimized geometry",
  "formation_enthalpy_0k_ev_per_atom": 0.954,
  "n_ef_per_ev_cell": 9.10,
  "magnetic_moment_mub_per_cell": 0.639,
  "cell": [[4.8402, -2.9666, 2.1206], [1.4169, 0.3273, 5.8830], [-0.7375, -4.8424, 3.5683]],
  "species": ["La", "La", "La", "La", "Tc", "Ir"],
  "fractional_positions": [[0.8754, 0.3749, 0.3749], [0.3749, 0.3749, 0.8754], [0.3749, 0.8754, 0.3749], [0.3749, 0.3749, 0.3749], [0.7500, 0.7500, 0.7500], [0.0000, 0.0000, 0.0000]]
}